#a
First-principles (PBE) data for crystalline EuYMg at its relaxed geometry, as listed in the Alexandria database.

The value obtained for the mass density is 4.57 g/cm³. As for the symmetry: I4mm (107). For the density of states at the Fermi level, the calculation gives 1.1084 states/eV/atom.

```
data_EuYMg
_space_group_name_H-M_alt 'P 1'
_space_group_IT_number 1
_space_group_name_Hall 'P 1'
_cell_length_a 3.812
_cell_length_b 3.812
_cell_length_c 13.245
_cell_angle_alpha 90.00
_cell_angle_beta 90.00
_cell_angle_gamma 90.00
loop_
_atom_site_label
_atom_site_type_symbol
_atom_site_fract_x
_atom_site_fract_y
_atom_site_fract_z
Eu1 Eu 0.000 0.000 0.000
Eu2 Eu 0.500 0.500 0.500
Y1 Y 0.000 0.000 0.301
Y2 Y 0.500 0.500 0.801
Mg1 Mg 0.000 0.000 0.663
Mg2 Mg 0.500 0.500 0.163
```

#b
First-principles (PBE) data for crystalline EuYMg at its relaxed geometry, as listed in the Alexandria database.

The value obtained for the mass density is 4.69 g/cm³. As for the symmetry: P3m1 (156). For the density of states at the Fermi level, the calculation gives 1.1055 states/eV/atom.

```
data_EuYMg
_space_group_name_H-M_alt 'P 1'
_space_group_IT_number 1
_space_group_name_Hall 'P 1'
_cell_length_a 5.622
_cell_length_b 5.622
_cell_length_c 3.432
_cell_angle_alpha 90.00
_cell_angle_beta 90.00
_cell_angle_gamma 120.00
loop_
_atom_site_label
_atom_site_type_symbol
_atom_site_fract_x
_atom_site_fract_y
_atom_site_fract_z
Eu1 Eu 0.000 0.000 0.000
Y1 Y 0.333 0.667 0.388
Mg1 Mg 0.667 0.333 0.709
```

Relative energies, meV per atom: #a 0; #b 81.